Entry from Alexandria via LeMat-Bulk: an optimized crystal structure of Ce2InCu (PBE-GGA).

a = 3.206 Å, b = 3.206 Å, c = 10.678 Å
α = 81.37°, β = 81.37°, γ = 60.00°
Site moments in Bohr magnetons follow the coordinates.
Sites, in units of the cell vectors:
1 In 0.500 0.500 0.500  0.00
2 Cu 0.000 0.000 0.000  0.01
3 Ce 0.741 0.741 0.776  0.28
4 Ce 0.259 0.259 0.224  0.28

- space-group type = R-3m (166)
- DFT formation energy (eV/atom) = 0.000
- E_tot (eV/cell) = -18.702
- total moment (μB per atom) = 0.18



Entry from Alexandria via LeMat-Bulk: an optimized crystal structure of CsTa3Te (PBE-GGA).

a = 5.235 Å, b = 5.235 Å, c = 5.235 Å
α = 90.00°, β = 90.00°, γ = 90.00°
Sites, in units of the cell vectors:
1 Te 0.000 0.000 0.000
2 Cs 0.500 0.500 0.500
3 Ta 0.000 0.500 0.000
4 Ta 0.000 0.000 0.500
5 Ta 0.500 0.000 0.000

- space-group type = Pm-3m (221)
- polymorph energy (0 for the lowest one) (meV per atom) = 0
- E_tot (eV/cell) = -29.341
- formation energy from raw total energies (kcal/mol of atoms) = 47.1
- total moment (μB per atom) = 0.00



Entry from Alexandria via LeMat-Bulk: an optimized crystal structure of PuBeCuO5 (PBE-GGA).

a = 5.554 Å, b = 5.554 Å, c = 8.195 Å
α = 111.42°, β = 111.42°, γ = 91.35°
Site moments in Bohr magnetons follow the coordinates.
Sites, in units of the cell vectors:
1 Be 0.656 0.344 0.250  -0.01
2 Be 0.344 0.656 0.750  -0.01
3 O 0.293 0.336 0.648  -0.15
4 O 0.795 0.241 0.096  -0.11
5 O 0.897 0.103 0.750  -0.14
6 O 0.241 0.795 0.596  -0.11
7 O 0.759 0.205 0.404  -0.11
8 O 0.664 0.707 0.852  -0.15
9 O 0.707 0.664 0.352  -0.15
10 O 0.103 0.897 0.250  -0.14
11 O 0.205 0.759 0.904  -0.11
12 O 0.336 0.293 0.148  -0.15
13 Cu 0.665 0.335 0.750  -0.43
14 Cu 0.335 0.665 0.250  -0.43
15 Pu 0.000 0.000 0.500  2.15
16 Pu 0.000 0.000 0.000  2.15

- space-group type = C2/c (15)
- E_tot (eV/cell) = -125.720
- formation energy from raw total energies (kcal/mol of atoms) = -45.9
- total moment (μB per atom) = 0.12



Entry from Alexandria via LeMat-Bulk: an optimized crystal structure of Tb2SnBi (PBE-GGA).

a = 4.262 Å, b = 4.262 Å, c = 8.422 Å
α = 75.34°, β = 75.34°, γ = 60.00°
Sites, in units of the cell vectors:
1 Sn 0.499 0.499 0.504
2 Tb 0.252 0.252 0.243
3 Tb 0.081 0.081 0.757
4 Bi 0.668 0.668 0.996

- space-group type = R3m (160)
- DFT formation energy (eV/atom) = -0.600
- polymorph energy (0 for the lowest one) (meV per atom) = 195
- E_tot (eV/cell) = -19.545
- total moment (μB per atom) = 0.00